An optimized crystal structure of Ho2ErOsC2. Source: the Alexandria database, functional PBE.

Cell lengths 3.675, 5.544, 10.949 Å; angles 90.00, 90.00, 90.00 degrees
Fractional positions:
Ho1 0.500 0.951 0.793
C1 0.000 0.275 0.119
Os1 0.000 0.000 0.000
Os2 0.500 0.500 0.500
Ho2 0.000 0.451 0.707
C2 0.000 0.725 0.881
Ho3 0.000 0.549 0.293
Er1 0.000 0.000 0.500
Ho4 0.500 0.049 0.207
Er2 0.500 0.500 0.000
C3 0.500 0.775 0.381
C4 0.500 0.225 0.619

Summary:
Raw total energy (Ry/atom): -0.54910
Calculated volume (A^3/atom): 18.593
Space-group type: No. 58